{"formula": "C5Se7", "functional": "PBE", "state": "relaxed", "space_group": "I4mm", "n_ef_per_ev_cell": 5.220, "e_form_raw_mev_per_atom": 1279, "lattice": [[7.611, 0.102, 0.000], [-5.420, 5.344, 0.000], [-1.095, -2.723, 7.023]], "species": ["Se", "Se", "Se", "Se", "Se", "Se", "Se", "C", "C", "C", "C", "C"], "frac_coords": [[0.781, 0.546, 0.765], [0.546, 0.781, 0.765], [0.408, 0.908, 0.500], [0.781, 0.016, 0.235], [0.394, 0.394, 0.000], [0.908, 0.408, 0.500], [0.016, 0.781, 0.235], [0.845, 0.060, 0.000], [0.845, 0.845, 0.785], [0.057, 0.057, 0.000], [0.060, 0.845, 0.000], [0.060, 0.060, 0.215]]}


{"formula": "BaZnN3", "functional": "PBE", "state": "relaxed", "space_group": "Pm-3m", "n_ef_per_ev_cell": 2.810, "e_form_raw_mev_per_atom": 1043, "lattice": [[-2.018, 1.128, -3.428], [-3.586, -1.063, 1.761], [-0.401, 3.833, 1.497]], "species": ["Ba", "N", "N", "N", "Zn"], "frac_coords": [[0.500, 0.500, 0.500], [0.000, 0.500, 0.000], [0.000, 0.000, 0.500], [0.500, 0.000, 0.000], [0.000, 0.000, 0.000]]}


{"formula": "La5H12Rh3", "functional": "PBE", "state": "relaxed", "total_energy_ry_per_atom": -0.3320, "space_group": "Ia-3d", "n_ef_per_ev_cell": 31.132, "lattice": [[10.989, 0.000, 0.000], [-3.663, 10.360, 0.000], [-3.663, -5.180, 8.972]], "species": ["H", "H", "H", "H", "H", "H", "H", "H", "H", "H", "H", "H", "H", "H", "H", "H", "H", "H", "H", "H", "H", "H", "H", "H", "H", "H", "H", "H", "H", "H", "H", "H", "H", "H", "H", "H", "H", "H", "H", "H", "H", "H", "H", "H", "H", "H", "H", "H", "La", "La", "La", "La", "La", "La", "La", "La", "La", "La", "La", "La", "La", "La", "La", "La", "La", "La", "La", "La", "Rh", "Rh", "Rh", "Rh", "Rh", "Rh", "Rh", "Rh", "Rh", "Rh", "Rh", "Rh"], "frac_coords": [[0.602, 0.343, 0.975], [0.898, 0.374, 0.241], [0.157, 0.025, 0.898], [0.626, 0.525, 0.867], [0.657, 0.259, 0.633], [0.133, 0.157, 0.259], [0.525, 0.626, 0.367], [0.367, 0.126, 0.525], [0.657, 0.398, 0.525], [0.867, 0.843, 0.741], [0.126, 0.759, 0.602], [0.398, 0.657, 0.025], [0.633, 0.759, 0.657], [0.898, 0.525, 0.157], [0.367, 0.241, 0.343], [0.475, 0.102, 0.343], [0.102, 0.626, 0.759], [0.759, 0.633, 0.157], [0.741, 0.343, 0.867], [0.374, 0.898, 0.741], [0.975, 0.133, 0.874], [0.475, 0.374, 0.633], [0.025, 0.867, 0.126], [0.759, 0.126, 0.102], [0.241, 0.367, 0.843], [0.259, 0.602, 0.626], [0.374, 0.475, 0.133], [0.259, 0.657, 0.133], [0.874, 0.633, 0.975], [0.741, 0.398, 0.374], [0.525, 0.898, 0.657], [0.133, 0.975, 0.374], [0.867, 0.025, 0.626], [0.025, 0.157, 0.398], [0.157, 0.133, 0.759], [0.975, 0.843, 0.602], [0.343, 0.602, 0.475], [0.602, 0.259, 0.126], [0.626, 0.102, 0.259], [0.102, 0.475, 0.843], [0.874, 0.241, 0.398], [0.843, 0.867, 0.241], [0.398, 0.741, 0.874], [0.843, 0.975, 0.102], [0.633, 0.874, 0.475], [0.126, 0.367, 0.025], [0.241, 0.874, 0.898], [0.343, 0.741, 0.367], [0.500, 0.500, 0.500], [0.625, 0.750, 0.875], [0.625, 0.875, 0.250], [0.875, 0.625, 0.750], [0.000, 0.500, 0.500], [0.000, 0.000, 0.000], [0.125, 0.750, 0.375], [0.375, 0.250, 0.125], [0.500, 0.000, 0.500], [0.750, 0.125, 0.875], [0.250, 0.375, 0.625], [0.000, 0.000, 0.500], [0.250, 0.875, 0.125], [0.375, 0.125, 0.750], [0.125, 0.375, 0.250], [0.500, 0.000, 0.000], [0.875, 0.250, 0.625], [0.000, 0.500, 0.000], [0.750, 0.625, 0.375], [0.500, 0.500, 0.000], [0.375, 0.625, 0.250], [0.250, 0.625, 0.875], [0.750, 0.375, 0.125], [0.250, 0.125, 0.375], [0.750, 0.875, 0.625], [0.625, 0.250, 0.375], [0.625, 0.375, 0.750], [0.875, 0.125, 0.250], [0.125, 0.875, 0.750], [0.125, 0.250, 0.875], [0.875, 0.750, 0.125], [0.375, 0.750, 0.625]]}